The following is a PBE calculation of crystalline LiHfHg3O4 at its relaxed geometry, from OQMD.

Cell lengths 5.948, 5.948, 5.948 Å; angles 90.00, 90.00, 90.00 degrees
Sites, in units of the cell vectors:
O  0.805  0.805  0.805
O  0.195  0.805  0.195
O  0.805  0.195  0.195
O  0.195  0.195  0.805
Hf  0.000  0.000  0.000
Li  0.500  0.500  0.500
Hg  0.000  0.000  0.500
Hg  0.500  0.000  0.000
Hg  0.000  0.500  0.000

Output
**Symmetry**: No. 215
**Volume**: 210.4 Å³/cell
**Total moment**: 0.000 Bohr magnetons per cell
**Uncorrected energy**: -4.567 eV/atom
**ρ**: 6.72 g cm⁻³

***

The following is a PBE calculation of crystalline LiHfHg3S4 at its relaxed geometry, from OQMD.

Cell lengths 7.130, 7.613, 10.173 Å; angles 90.00, 107.88, 90.00 degrees
Sites, in units of the cell vectors:
Hg  0.191  0.457  0.488
Hg  0.809  0.543  0.512
Hg  0.214  0.250  0.734
Hg  0.786  0.750  0.266
Hg  0.191  0.043  0.488
Hg  0.809  0.957  0.512
S  0.963  0.488  0.809
S  0.449  0.750  0.097
S  0.421  0.750  0.505
S  0.037  0.512  0.191
S  0.579  0.250  0.495
S  0.551  0.250  0.903
S  0.963  0.012  0.809
S  0.037  0.988  0.191
Hf  0.734  0.250  0.745
Hf  0.266  0.750  0.255
Li  0.000  0.750  0.950
Li  0.000  0.250  0.050

Output
**Symmetry**: No. 11
**Volume**: 525.5 Å³/cell
**Total moment**: 0.001 Bohr magnetons per cell
**ΔE to the lowest computed polymorph**: 0.000 eV/atom
**ρ**: 5.79 g cm⁻³

***

The following is a PBE calculation of crystalline LiHfHg3S4 at its relaxed geometry, from OQMD.

Cell lengths 6.669, 6.669, 6.669 Å; angles 90.00, 90.00, 90.00 degrees
Sites, in units of the cell vectors:
S  0.288  0.712  0.712
S  0.288  0.288  0.288
S  0.712  0.288  0.712
S  0.712  0.712  0.288
Hf  0.500  0.500  0.500
Li  0.000  0.000  0.000
Hg  0.500  0.500  0.000
Hg  0.500  0.000  0.500
Hg  0.000  0.500  0.500

Output
**Symmetry**: No. 215
**Volume**: 296.6 Å³/cell
**Total moment**: 0.004 Bohr magnetons per cell
**ΔE to the lowest computed polymorph**: 0.224 eV/atom
**ρ**: 5.13 g cm⁻³